! PBE CaZn3, optimized geometry; values from VASP
&SYSTEM
  ibrav = 0, nat = 4, ntyp = 2
/
ATOMIC_SPECIES
Ca 40.08 Ca.upf
Zn 65.41 Zn.upf
CELL_PARAMETERS angstrom
3.938 0.000 0.000
-1.969 3.410 0.000
0.000 0.000 6.937
ATOMIC_POSITIONS crystal
Ca 0.000 0.000 0.000
Zn 0.000 0.000 0.500
Zn 0.667 0.333 0.305
Zn 0.667 0.333 0.695
! - energy of formation from the pure elements (eV per atom) = 0.02
! - VASP energy (eV per atom) = -1.434
! - calculated density (g cm⁻³) = 4.21